[1]
Tb4CdAg2Os | PBE | relaxed

Properties
Total DFT energy (no corrections)   -4.859 eV/atom
Space group   R-3m, No. 166
Total magnetization   0.0 Bohr magnetons per cell

CIF file:
```
data_Tb4CdAg2Os
_space_group_name_H-M_alt 'P 1'
_space_group_IT_number 1
_cell_length_a 5.124
_cell_length_b 5.124
_cell_length_c 8.823
_cell_angle_alpha 73.12
_cell_angle_beta 73.12
_cell_angle_gamma 60.00
loop_
_space_group_symop_operation_xyz
'x,y,z'
loop_
_atom_site_label
_atom_site_type_symbol
_atom_site_fract_x
_atom_site_fract_y
_atom_site_fract_z
_atom_site_occupancy
Tb1 Tb 0.867 0.867 0.400 1
Ag1 Ag 0.742 0.742 0.775 1
Tb2 Tb 0.386 0.386 0.843 1
Os1 Os 0.500 0.500 0.500 1
Tb3 Tb 0.133 0.133 0.600 1
Cd1 Cd 0.000 0.000 0.000 1
Ag2 Ag 0.258 0.258 0.225 1
Tb4 Tb 0.614 0.614 0.157 1
```

***

[2]
K2SrP2O7 | PBE | relaxed

Properties
Formation energy from raw total energies   -30.23 eV/f.u.
Space group   P2_1/c, No. 14
Total magnetization   0.0 Bohr magnetons per cell

CIF file:
```
data_K2SrP2O7
_space_group_name_H-M_alt 'P 1'
_space_group_IT_number 1
_cell_length_a 5.811
_cell_length_b 9.318
_cell_length_c 14.978
_cell_angle_alpha 73.56
_cell_angle_beta 90.00
_cell_angle_gamma 90.00
loop_
_space_group_symop_operation_xyz
'x,y,z'
loop_
_atom_site_label
_atom_site_type_symbol
_atom_site_fract_x
_atom_site_fract_y
_atom_site_fract_z
_atom_site_occupancy
O1 O 0.746 0.460 0.391 1
P1 P 0.764 0.180 0.304 1
O2 O 0.294 0.823 0.085 1
O3 O 0.246 0.540 0.109 1
O4 O 0.964 0.258 0.769 1
O5 O 0.645 0.279 0.050 1
O6 O 0.265 0.987 0.189 1
K1 K 0.762 0.537 0.667 1
O7 O 0.206 0.823 0.585 1
Sr1 Sr 0.770 0.735 0.369 1
O8 O 0.049 0.272 0.986 1
O9 O 0.735 0.013 0.811 1
O10 O 0.976 0.264 0.255 1
K2 K 0.262 0.030 0.383 1
P2 P 0.236 0.820 0.696 1
Sr2 Sr 0.270 0.265 0.131 1
O11 O 0.754 0.460 0.891 1
K3 K 0.738 0.537 0.167 1
K4 K 0.762 0.970 0.117 1
P3 P 0.294 0.692 0.537 1
P4 P 0.206 0.692 0.037 1
K5 K 0.238 0.030 0.883 1
K6 K 0.262 0.463 0.833 1
K7 K 0.738 0.970 0.617 1
O12 O 0.451 0.272 0.486 1
O13 O 0.254 0.540 0.609 1
O14 O 0.355 0.721 0.950 1
P5 P 0.736 0.180 0.804 1
O15 O 0.235 0.987 0.689 1
Sr3 Sr 0.730 0.735 0.869 1
O16 O 0.524 0.264 0.755 1
K8 K 0.238 0.463 0.333 1
O17 O 0.706 0.177 0.915 1
P6 P 0.706 0.308 0.463 1
O18 O 0.145 0.721 0.450 1
O19 O 0.464 0.742 0.731 1
O20 O 0.036 0.742 0.231 1
O21 O 0.794 0.177 0.415 1
Sr4 Sr 0.230 0.265 0.631 1
P7 P 0.264 0.820 0.196 1
O22 O 0.855 0.279 0.550 1
O23 O 0.951 0.728 0.014 1
O24 O 0.024 0.736 0.745 1
O25 O 0.549 0.728 0.514 1
P8 P 0.794 0.308 0.963 1
O26 O 0.476 0.736 0.245 1
O27 O 0.765 0.013 0.311 1
O28 O 0.536 0.258 0.269 1
```

***

[3]
Ho5RuRh2 | PBE | relaxed

Properties
Total DFT energy (no corrections)   -6.457 eV/atom
Space group   Pbam, No. 55
Total magnetization   0.0 Bohr magnetons per cell

CIF file:
```
data_Ho5RuRh2
_space_group_name_H-M_alt 'P 1'
_space_group_IT_number 1
_cell_length_a 4.210
_cell_length_b 7.528
_cell_length_c 11.865
_cell_angle_alpha 90.00
_cell_angle_beta 90.00
_cell_angle_gamma 90.00
loop_
_space_group_symop_operation_xyz
'x,y,z'
loop_
_atom_site_label
_atom_site_type_symbol
_atom_site_fract_x
_atom_site_fract_y
_atom_site_fract_z
_atom_site_occupancy
Ho1 Ho 0.500 0.176 0.091 1
Ho2 Ho 0.500 0.676 0.409 1
Ru1 Ru 0.000 0.500 0.500 1
Ho3 Ho 0.000 0.164 0.797 1
Rh1 Rh 0.500 0.460 0.832 1
Ho4 Ho 0.000 0.836 0.203 1
Rh2 Rh 0.500 0.040 0.332 1
Ho5 Ho 0.000 0.336 0.297 1
Ho6 Ho 0.000 0.664 0.703 1
Ho7 Ho 0.500 0.824 0.909 1
Ho8 Ho 0.500 0.324 0.591 1
Rh3 Rh 0.500 0.960 0.668 1
Ru2 Ru 0.000 0.000 0.000 1
Ho9 Ho 0.000 0.000 0.500 1
Rh4 Rh 0.500 0.540 0.168 1
Ho10 Ho 0.000 0.500 0.000 1
```

***

[4]
La2Ho2Se2S3 | PBE | relaxed

Properties
Formation energy from raw total energies   -15.49 eV/f.u.
Space group   I4/mmm, No. 139
Total magnetization   0.0 Bohr magnetons per cell

CIF file:
```
data_La2Ho2Se2S3
_space_group_name_H-M_alt 'P 1'
_space_group_IT_number 1
_cell_length_a 5.094
_cell_length_b 5.094
_cell_length_c 9.931
_cell_angle_alpha 104.86
_cell_angle_beta 104.86
_cell_angle_gamma 90.00
loop_
_space_group_symop_operation_xyz
'x,y,z'
loop_
_atom_site_label
_atom_site_type_symbol
_atom_site_fract_x
_atom_site_fract_y
_atom_site_fract_z
_atom_site_occupancy
S1 S 0.750 0.250 0.500 1
S2 S 0.250 0.750 0.500 1
Se1 Se 0.405 0.405 0.811 1
Se2 Se 0.595 0.595 0.189 1
Ho1 Ho 0.500 0.000 0.000 1
Ho2 Ho 0.000 0.500 0.000 1
La1 La 0.182 0.182 0.365 1
La2 La 0.818 0.818 0.635 1
S3 S 0.000 0.000 0.000 1
```

***

[5]
CsPaS2 | PBE | relaxed

Properties
Formation energy from raw total energies   -5.27 eV/f.u.
Space group   P4/mmm, No. 123
Total magnetization   1.6 Bohr magnetons per cell

CIF file:
```
data_CsPaS2
_space_group_name_H-M_alt 'P 1'
_space_group_IT_number 1
_cell_length_a 3.548
_cell_length_b 3.548
_cell_length_c 8.191
_cell_angle_alpha 90.00
_cell_angle_beta 90.00
_cell_angle_gamma 90.00
loop_
_space_group_symop_operation_xyz
'x,y,z'
loop_
_atom_site_label
_atom_site_type_symbol
_atom_site_fract_x
_atom_site_fract_y
_atom_site_fract_z
_atom_site_occupancy
Cs1 Cs 0.500 0.500 0.500 1
S1 S 0.000 0.000 0.189 1
Pa1 Pa 0.500 0.500 0.000 1
S2 S 0.000 0.000 0.811 1
```

***

[6]
TbPuSe | PBE | relaxed

Properties
Formation energy from raw total energies   -2.31 eV/f.u.
Space group   P4_2/m, No. 84
Total magnetization   25.4 Bohr magnetons per cell

CIF file:
```
data_TbPuSe
_space_group_name_H-M_alt 'P 1'
_space_group_IT_number 1
_cell_length_a 3.981
_cell_length_b 9.261
_cell_length_c 9.261
_cell_angle_alpha 90.00
_cell_angle_beta 90.00
_cell_angle_gamma 90.00
loop_
_space_group_symop_operation_xyz
'x,y,z'
loop_
_atom_site_label
_atom_site_type_symbol
_atom_site_fract_x
_atom_site_fract_y
_atom_site_fract_z
_atom_site_occupancy
Pu1 Pu 0.500 0.678 0.385 1
Tb1 Tb 0.000 0.963 0.222 1
Pu2 Pu 0.000 0.385 0.322 1
Se1 Se 0.000 0.653 0.151 1
Pu3 Pu 0.000 0.615 0.678 1
Pu4 Pu 0.500 0.322 0.615 1
Se2 Se 0.500 0.849 0.653 1
Tb2 Tb 0.000 0.037 0.778 1
Se3 Se 0.000 0.347 0.849 1
Tb3 Tb 0.500 0.222 0.037 1
Tb4 Tb 0.500 0.778 0.963 1
Se4 Se 0.500 0.151 0.347 1
```

***

[7]
RbSrTl2Br5 | PBE | relaxed

Properties
Formation energy from raw total energies   -12.80 eV/f.u.
Space group   Immm, No. 71
Total magnetization   0.0 Bohr magnetons per cell

CIF file:
```
data_RbSrTl2Br5
_space_group_name_H-M_alt 'P 1'
_space_group_IT_number 1
_cell_length_a 5.815
_cell_length_b 8.188
_cell_length_c 9.543
_cell_angle_alpha 115.41
_cell_angle_beta 107.74
_cell_angle_gamma 90.00
loop_
_space_group_symop_operation_xyz
'x,y,z'
loop_
_atom_site_label
_atom_site_type_symbol
_atom_site_fract_x
_atom_site_fract_y
_atom_site_fract_z
_atom_site_occupancy
Tl1 Tl 0.212 0.212 0.424 1
Br1 Br 0.000 0.000 0.000 1
Br2 Br 0.365 0.120 0.730 1
Sr1 Sr 0.500 0.000 0.000 1
Tl2 Tl 0.788 0.788 0.576 1
Br3 Br 0.365 0.610 0.730 1
Rb1 Rb 0.000 0.500 0.000 1
Br4 Br 0.635 0.390 0.270 1
Br5 Br 0.635 0.880 0.270 1
```

***

[8]
AcCuSi2Pt2 | PBE | relaxed

Properties
Formation energy from raw total energies   -4.83 eV/f.u.
Space group   P-3m1, No. 164
Total magnetization   0.0 Bohr magnetons per cell

CIF file:
```
data_AcCuSi2Pt2
_space_group_name_H-M_alt 'P 1'
_space_group_IT_number 1
_cell_length_a 4.251
_cell_length_b 4.251
_cell_length_c 7.205
_cell_angle_alpha 90.00
_cell_angle_beta 90.00
_cell_angle_gamma 120.00
loop_
_space_group_symop_operation_xyz
'x,y,z'
loop_
_atom_site_label
_atom_site_type_symbol
_atom_site_fract_x
_atom_site_fract_y
_atom_site_fract_z
_atom_site_occupancy
Cu1 Cu 0.000 0.000 0.500 1
Si1 Si 0.333 0.667 0.695 1
Pt1 Pt 0.667 0.333 0.660 1
Ac1 Ac 0.000 0.000 0.000 1
Pt2 Pt 0.333 0.667 0.340 1
Si2 Si 0.667 0.333 0.305 1
```

***

[9]
ErHf3Al8 | PBE | relaxed

Properties
Total DFT energy (no corrections)   -5.806 eV/atom
Space group   P3m1, No. 156
Total magnetization   0.0 Bohr magnetons per cell

CIF file:
```
data_ErHf3Al8
_space_group_name_H-M_alt 'P 1'
_space_group_IT_number 1
_cell_length_a 5.310
_cell_length_b 5.310
_cell_length_c 8.813
_cell_angle_alpha 90.00
_cell_angle_beta 90.00
_cell_angle_gamma 120.00
loop_
_space_group_symop_operation_xyz
'x,y,z'
loop_
_atom_site_label
_atom_site_type_symbol
_atom_site_fract_x
_atom_site_fract_y
_atom_site_fract_z
_atom_site_occupancy
Er1 Er 0.000 0.000 0.565 1
Hf1 Hf 0.000 0.000 0.937 1
Al1 Al 0.504 0.496 0.756 1
Al2 Al 0.675 0.837 0.246 1
Al3 Al 0.504 0.008 0.756 1
Hf2 Hf 0.667 0.333 0.427 1
Hf3 Hf 0.667 0.333 0.066 1
Al4 Al 0.333 0.667 0.002 1
Al5 Al 0.333 0.667 0.499 1
Al6 Al 0.163 0.325 0.246 1
Al7 Al 0.163 0.837 0.246 1
Al8 Al 0.992 0.496 0.756 1
```

***

[10]
ZnCoTe2 | PBE | relaxed

Properties
Formation energy from raw total energies   1.85 eV/f.u.
Space group   Cmmm, No. 65
Total magnetization   0.9 Bohr magnetons per cell

CIF file:
```
data_ZnCoTe2
_space_group_name_H-M_alt 'P 1'
_space_group_IT_number 1
_cell_length_a 4.835
_cell_length_b 4.835
_cell_length_c 3.482
_cell_angle_alpha 90.00
_cell_angle_beta 90.00
_cell_angle_gamma 99.29
loop_
_space_group_symop_operation_xyz
'x,y,z'
loop_
_atom_site_label
_atom_site_type_symbol
_atom_site_fract_x
_atom_site_fract_y
_atom_site_fract_z
_atom_site_occupancy
Te1 Te 0.500 0.500 0.000 1
Zn1 Zn 0.500 0.000 0.500 1
Co1 Co 0.000 0.500 0.500 1
Te2 Te 0.000 0.000 0.000 1
```